Below is a relaxed NpBeGeO6 crystal, with properties calculated at the PBE level.

a b c (Å): 4.9472 4.9472 8.7168
angles (deg): 90.00 90.00 120.00
Atoms (fractional coordinates):
1 Np 0.3333 0.6667 0.2500
2 Np 0.6667 0.3333 0.7500
3 Be 0.3333 0.6667 0.7500
4 Be 0.6667 0.3333 0.2500
5 Ge 0.0000 0.0000 0.0000
6 Ge 0.0000 0.0000 0.5000
7 O 0.0261 0.3383 0.6264
8 O 0.0261 0.6879 0.8736
9 O 0.3121 0.3383 0.8736
10 O 0.3121 0.9739 0.6264
11 O 0.3383 0.0261 0.1264
12 O 0.3383 0.3121 0.3736
13 O 0.6617 0.6879 0.6264
14 O 0.6617 0.9739 0.8736
15 O 0.6879 0.0261 0.3736
16 O 0.6879 0.6617 0.1264
17 O 0.9739 0.3121 0.1264
18 O 0.9739 0.6617 0.3736

Values from the calculation:
E_form (uncorrected) ... -2052 meV per atom



Below is a relaxed Cr2FeIrC crystal, with properties calculated at the PBE level.

a b c (Å): 3.8456 3.8456 3.7550
angles (deg): 90.00 90.00 90.00
Atoms (fractional coordinates):
1 Cr 0.0000 0.5000 0.0000
2 Cr 0.5000 0.0000 0.0000
3 Fe 0.0000 0.0000 0.5000
4 Ir 0.5000 0.5000 0.5000
5 C 0.0000 0.0000 0.0000

Values from the calculation:
ΔH_f (0 K) ... 9 meV/atom



Below is a relaxed Be2ReSb crystal, with properties calculated at the PBE level.

a b c (Å): 3.2198 3.2198 5.2825
angles (deg): 90.00 90.00 90.00
Atoms (fractional coordinates):
1 Be 0.0000 0.0000 0.1956
2 Be 0.0000 0.0000 0.8044
3 Re 0.5000 0.5000 0.0000
4 Sb 0.5000 0.5000 0.5000

Values from the calculation:
E_form (uncorrected) ... 207 meV per atom



Below is a relaxed TmTc4Ge2 crystal, with properties calculated at the PBE level.

a b c (Å): 7.4290 7.4290 4.0766
angles (deg): 90.00 90.00 147.79
Atoms (fractional coordinates):
1 Tm 0.0000 0.0000 0.0000
2 Tc 0.1913 0.8087 0.5000
3 Tc 0.3026 0.6974 0.0000
4 Tc 0.6974 0.3026 0.0000
5 Tc 0.8087 0.1913 0.5000
6 Ge 0.4134 0.5866 0.5000
7 Ge 0.5866 0.4134 0.5000

Values from the calculation:
ΔH_f (0 K) ... -370 meV/atom



Below is a relaxed AlCdTe2 crystal, with properties calculated at the PBE level.

a b c (Å): 3.3173 3.3173 10.1870
angles (deg): 90.00 90.00 105.39
Atoms (fractional coordinates):
1 Al 0.0000 0.0000 0.0000
2 Cd 0.5000 0.5000 0.7984
3 Te 0.0000 0.0000 0.5610
4 Te 0.5000 0.5000 0.1976

Values from the calculation:
E_form (uncorrected) ... 100 meV per atom
ΔE to the lowest computed polymorph ... 400.6 meV/atom



Below is a relaxed Be2FeCo crystal, with properties calculated at the PBE level.

a b c (Å): 2.5618 2.5618 5.4557
angles (deg): 90.00 90.00 90.00
Atoms (fractional coordinates):
1 Be 0.0000 0.0000 0.0000
2 Be 0.5000 0.5000 0.2200
3 Fe 0.5000 0.5000 0.7472
4 Co 0.0000 0.0000 0.4541

Values from the calculation:
ΔH_f (0 K) ... -146 meV/atom



Number 1: energy -138.999 eV per cell. Number 2: energy -45.749 eV per cell. Number 3: energy -23.194 eV per cell. Number 4: energy -57.758 eV per cell. Number 5: energy -10.539 eV per cell. Number 6: energy -23.606 eV per cell.